Record 1
Density functional theory data (PBE) for an optimized crystal structure of ThTc3P3.

Cell: 6.442 6.442 6.442 Å, 90.00 90.00 90.00°
Space group Pm-3n (No. 223)
Inequivalent atoms, fractional coordinates:
Th1 0.000 0.000 0.000 (multiplicity 2)
Tc1 0.000 0.250 0.500 (multiplicity 6)
P1 0.000 0.500 0.250 (multiplicity 6)

- magnetization (μB per formula unit) = 0.00
- formation energy (meV/atom) = -256
- total DFT energy (no corrections) (eV per cell) = -113.079

Record 2
Density functional theory data (PBE) for an optimized crystal structure of Ir2Os2Ru5.

Cell: 8.530 4.036 7.821 Å, 90.00 99.04 90.00°
Space group C2/m (No. 12)
Inequivalent atoms, fractional coordinates:
Ir1 0.182 0.000 0.394 (multiplicity 4)
Os1 0.238 0.000 0.084 (multiplicity 4)
Ru1 0.000 0.500 0.500 (multiplicity 2)
Ru2 0.060 0.500 0.169 (multiplicity 4)
Ru3 0.125 0.000 0.733 (multiplicity 4)

- magnetization (μB per formula unit) = 0.00
- formation energy (meV/atom) = 264
- total DFT energy (no corrections) (eV per cell) = -168.366

Record 3
Density functional theory data (PBE) for an optimized crystal structure of Cu3AgN.

Cell: 4.656 4.656 4.656 Å, 90.00 90.00 90.00°
Space group Pm-3m (No. 221)
Inequivalent atoms, fractional coordinates:
Cu1 0.000 0.000 0.500 (multiplicity 3)
Ag1 0.000 0.000 0.000 (multiplicity 1)
N1 0.500 0.500 0.500 (multiplicity 1)

- magnetization (μB per formula unit) = 0.00
- total DFT energy (no corrections) (eV per cell) = -12.899
- raw formation energy (eV/atom) = 2.11

Record 4
Density functional theory data (PBE) for an optimized crystal structure of PdC.

Cell: 4.437 4.437 4.437 Å, 90.00 90.00 90.00°
Space group Fm-3m (No. 225)
Inequivalent atoms, fractional coordinates:
Pd1 0.000 0.000 0.000 (multiplicity 4)
C1 0.000 0.000 0.500 (multiplicity 4)

- magnetization (μB per formula unit) = 0.00
- formation energy (meV/atom) = 1494
- total DFT energy (no corrections) (eV per cell) = -45.717

Record 5
Density functional theory data (PBE) for an optimized crystal structure of Zr2HgPd.

Cell: 4.385 4.385 4.154 Å, 90.00 90.00 90.00°
Space group P4/mmm (No. 123)
Inequivalent atoms, fractional coordinates:
Zr1 0.000 0.500 0.000 (multiplicity 2)
Hg1 0.000 0.000 0.500 (multiplicity 1)
Pd1 0.500 0.500 0.500 (multiplicity 1)

- magnetization (μB per formula unit) = 0.04
- formation energy (meV/atom) = -346
- total DFT energy (no corrections) (eV per cell) = -23.977

Record 6
Density functional theory data (PBE) for an optimized crystal structure of Th7Pb2C2.

Cell: 7.874 11.517 8.105 Å, 90.00 97.31 90.00°
Space group C2/m (No. 12)
Inequivalent atoms, fractional coordinates:
Th1 0.000 0.000 0.000 (multiplicity 2)
Th2 0.099 0.500 0.804 (multiplicity 4)
Th3 0.206 0.299 0.182 (multiplicity 8)
Pb1 0.000 0.277 0.500 (multiplicity 4)
C1 0.196 0.500 0.104 (multiplicity 4)

- magnetization (μB per formula unit) = 0.00
- formation energy (meV/atom) = 140
- total DFT energy (no corrections) (eV per cell) = -152.532

Record 7
Density functional theory data (PBE) for an optimized crystal structure of LaZn2P.

Cell: 4.220 4.220 20.443 Å, 90.00 90.00 90.00°
Space group I-42d (No. 122)
Inequivalent atoms, fractional coordinates:
La1 0.000 0.000 0.000 (multiplicity 4)
Zn1 0.161 0.250 0.625 (multiplicity 8)
P1 0.000 0.000 0.500 (multiplicity 4)

- magnetization (μB per formula unit) = 0.00
- formation energy (meV/atom) = -396
- total DFT energy (no corrections) (eV per cell) = -57.878

Record 8
Density functional theory data (PBE) for an optimized crystal structure of Mg2TcCl.

Cell: 6.695 6.695 6.695 Å, 90.00 90.00 90.00°
Space group F-43m (No. 216)
Inequivalent atoms, fractional coordinates:
Mg1 0.000 0.000 0.000 (multiplicity 4)
Mg2 0.250 0.250 0.250 (multiplicity 4)
Tc1 0.000 0.000 0.500 (multiplicity 4)
Cl1 0.250 0.250 0.750 (multiplicity 4)

- magnetization (μB per formula unit) = 1.88
- total DFT energy (no corrections) (eV per cell) = -52.708
- raw formation energy (eV/atom) = 0.56

Record 9
Density functional theory data (PBE) for an optimized crystal structure of Na2Li3InSb4.

Cell: 4.546 4.546 12.460 Å, 90.00 90.00 90.00°
Space group P-4m2 (No. 115)
Inequivalent atoms, fractional coordinates:
Na1 0.000 0.500 0.248 (multiplicity 2)
Li1 0.000 0.000 0.000 (multiplicity 1)
Li2 0.000 0.500 0.642 (multiplicity 2)
In1 0.500 0.500 0.000 (multiplicity 1)
Sb1 0.000 0.000 0.500 (multiplicity 1)
Sb2 0.000 0.500 0.857 (multiplicity 2)
Sb3 0.500 0.500 0.500 (multiplicity 1)

- magnetization (μB per formula unit) = 0.00
- total DFT energy (no corrections) (eV per cell) = -31.542
- raw formation energy (eV/atom) = -0.39

Record 10
Density functional theory data (PBE) for an optimized crystal structure of CoMoRh2.

Cell: 2.720 4.131 5.131 Å, 90.00 105.19 90.00°
Space group Pm (No. 6)
Inequivalent atoms, fractional coordinates:
Co1 0.000 0.000 0.000 (multiplicity 1)
Mo1 0.132 0.500 0.266 (multiplicity 1)
Rh1 0.401 0.500 0.799 (multiplicity 1)
Rh2 0.739 0.000 0.482 (multiplicity 1)

- magnetization (μB per formula unit) = 1.35
- formation energy (meV/atom) = 0
- total DFT energy (no corrections) (eV per cell) = -32.640

Record 11
Density functional theory data (PBE) for an optimized crystal structure of FePbAu.

Cell: 4.4266 4.4266 3.7015 Å, 90.00 90.00 120.00°
Space group P3m1 (No. 156)
Inequivalent atoms, fractional coordinates:
Fe1 0.0000 0.0000 0.0000 (multiplicity 1)
Pb1 0.3333 0.6667 0.4165 (multiplicity 1)
Au1 0.6667 0.3333 0.8530 (multiplicity 1)

- magnetization (μB per formula unit) = 3.02
- formation energy (meV/atom) = 402
- total DFT energy (no corrections) (eV per cell) = -14.242

Record 12
Density functional theory data (PBE) for an optimized crystal structure of Ho3Sb2Se2.

Cell: 15.701 4.198 7.569 Å, 90.00 116.83 90.00°
Space group C2/m (No. 12)
Inequivalent atoms, fractional coordinates:
Ho1 0.000 0.000 0.000 (multiplicity 2)
Ho2 0.229 0.500 0.754 (multiplicity 4)
Sb1 0.131 0.500 0.297 (multiplicity 4)
Se1 0.132 0.000 0.832 (multiplicity 4)

- magnetization (μB per formula unit) = 0.00
- total DFT energy (no corrections) (eV per cell) = -75.466
- raw formation energy (eV/atom) = -1.26

Record 13
Density functional theory data (PBE) for an optimized crystal structure of SmDy3Ru8.

Cell: 5.3373 5.3373 26.3303 Å, 90.00 90.00 120.00°
Space group R3m (No. 160, hexagonal axes)
Inequivalent atoms, fractional coordinates:
Sm1 0.0000 0.0000 0.0000 (multiplicity 3)
Dy1 0.0000 0.0000 0.3751 (multiplicity 3)
Dy2 0.0000 0.0000 0.4997 (multiplicity 3)
Dy3 0.0000 0.0000 0.8749 (multiplicity 3)
Ru1 0.0000 0.0000 0.1872 (multiplicity 3)
Ru2 0.0000 0.0000 0.6874 (multiplicity 3)
Ru3 0.0020 0.5010 0.4381 (multiplicity 9)
Ru4 0.1672 0.3344 0.2699 (multiplicity 9)

- magnetization (μB per formula unit) = 0.00
- formation energy (meV/atom) = -272
- total DFT energy (no corrections) (eV per cell) = -287.999

Record 14
Density functional theory data (PBE) for an optimized crystal structure of NiIrPt2.

Cell: 3.856 3.856 7.684 Å, 90.00 90.00 90.00°
Space group I4/mmm (No. 139)
Inequivalent atoms, fractional coordinates:
Ni1 0.000 0.000 0.000 (multiplicity 2)
Ir1 0.000 0.000 0.500 (multiplicity 2)
Pt1 0.000 0.500 0.250 (multiplicity 4)

- magnetization (μB per formula unit) = 0.61
- formation energy (meV/atom) = 7
- total DFT energy (no corrections) (eV per cell) = -53.392

Record 15
Density functional theory data (PBE) for an optimized crystal structure of CaSmEr2.

Cell: 3.5938 3.5938 35.9382 Å, 90.00 90.00 120.00°
Space group R3m (No. 160, hexagonal axes)
Inequivalent atoms, fractional coordinates:
Ca1 0.0000 0.0000 0.0000 (multiplicity 3)
Sm1 0.0000 0.0000 0.8344 (multiplicity 3)
Er1 0.0000 0.0000 0.2464 (multiplicity 3)
Er2 0.0000 0.0000 0.4214 (multiplicity 3)

- magnetization (μB per formula unit) = 0.00
- formation energy (meV/atom) = 69
- total DFT energy (no corrections) (eV per cell) = -46.716

Record 16
Density functional theory data (PBE) for an optimized crystal structure of PAuNCl2.

Cell: 4.869 4.869 4.910 Å, 90.00 90.00 90.00°
Space group P4/mmm (No. 123)
Inequivalent atoms, fractional coordinates:
P1 0.000 0.000 0.000 (multiplicity 1)
Au1 0.000 0.000 0.500 (multiplicity 1)
N1 0.500 0.500 0.000 (multiplicity 1)
Cl1 0.000 0.500 0.500 (multiplicity 2)

- magnetization (μB per formula unit) = 0.00
- total DFT energy (no corrections) (eV per cell) = -11.804
- raw formation energy (eV/atom) = 1.78

Record 17
Density functional theory data (PBE) for an optimized crystal structure of Hf2AlV.

Cell: 3.0784 3.0784 27.8955 Å, 90.00 90.00 120.00°
Space group R-3m (No. 166, hexagonal axes)
Inequivalent atoms, fractional coordinates:
Hf1 0.0000 0.0000 0.2467 (multiplicity 6)
Al1 0.0000 0.0000 0.0000 (multiplicity 3)
V1 0.0000 0.0000 0.5000 (multiplicity 3)

- magnetization (μB per formula unit) = 0.01
- formation energy (meV/atom) = 81
- total DFT energy (no corrections) (eV per cell) = -97.328

Record 18
Density functional theory data (PBE) for an optimized crystal structure of Mg9Si5.

Cell: 7.173 7.191 12.648 Å, 85.37 81.96 61.58°
Space group P1 (No. 1)
Inequivalent atoms, fractional coordinates:
Mg1 0.000 0.000 0.000 (multiplicity 1)
Mg2 0.001 0.366 0.493 (multiplicity 1)
Mg3 0.146 0.231 0.135 (multiplicity 1)
Mg4 0.150 0.568 0.854 (multiplicity 1)
Mg5 0.231 0.678 0.479 (multiplicity 1)
Mg6 0.340 0.268 0.660 (multiplicity 1)
Mg7 0.405 0.324 0.308 (multiplicity 1)
Mg8 0.444 0.720 0.135 (multiplicity 1)
Mg9 0.504 0.699 0.895 (multiplicity 1)
Mg10 0.513 0.304 0.008 (multiplicity 1)
Mg11 0.560 0.592 0.650 (multiplicity 1)
Mg12 0.648 0.905 0.472 (multiplicity 1)
Mg13 0.686 0.555 0.323 (multiplicity 1)
Mg14 0.704 0.937 0.193 (multiplicity 1)
Mg15 0.726 0.977 0.831 (multiplicity 1)
Mg16 0.876 0.042 0.620 (multiplicity 1)
Mg17 0.889 0.334 0.808 (multiplicity 1)
Mg18 0.946 0.058 0.331 (multiplicity 1)
Si1 0.006 0.650 0.325 (multiplicity 1)
Si2 0.121 0.617 0.116 (multiplicity 1)
Si3 0.186 0.924 0.770 (multiplicity 1)
Si4 0.270 0.976 0.578 (multiplicity 1)
Si5 0.285 0.133 0.890 (multiplicity 1)
Si6 0.353 0.968 0.313 (multiplicity 1)
Si7 0.617 0.316 0.488 (multiplicity 1)
Si8 0.742 0.295 0.163 (multiplicity 1)
Si9 0.811 0.734 0.012 (multiplicity 1)
Si10 0.922 0.639 0.662 (multiplicity 1)

- magnetization (μB per formula unit) = 0.00
- total DFT energy (no corrections) (eV per cell) = -82.827
- raw formation energy (eV/atom) = 0.00

Record 19
Density functional theory data (PBE) for an optimized crystal structure of Rb3Tl.

Cell: 14.131 15.552 5.074 Å, 90.00 90.00 90.00°
Space group Cmcm (No. 63)
Inequivalent atoms, fractional coordinates:
Rb1 0.000 0.140 0.250 (multiplicity 4)
Rb2 0.194 0.375 0.250 (multiplicity 8)
Tl1 0.000 0.439 0.750 (multiplicity 4)

- magnetization (μB per formula unit) = 0.00
- formation energy (meV/atom) = -1
- total DFT energy (no corrections) (eV per cell) = -21.096

Record 20
Density functional theory data (PBE) for an optimized crystal structure of Be2AlRh.

Cell: 2.7693 2.7693 22.2910 Å, 90.00 90.00 120.00°
Space group R-3m (No. 166, hexagonal axes)
Inequivalent atoms, fractional coordinates:
Be1 0.0000 0.0000 0.2424 (multiplicity 6)
Al1 0.0000 0.0000 0.0000 (multiplicity 3)
Rh1 0.0000 0.0000 0.5000 (multiplicity 3)

- magnetization (μB per formula unit) = 0.00
- formation energy (meV/atom) = -70
- total DFT energy (no corrections) (eV per cell) = -56.484